No. 1
This record from Alexandria describes an optimized crystal structure of CrSiNi2. The functional is GGA-PBE.

Cell: 4.3487 4.3487 2.5424 Å, 90.00 90.00 109.29°
Closest atoms and distances in Å follow each position.
Fractional positions:
Si 0.5000 0.0000 0.5000  2 Cr 2.52, 8 Ni 2.52, 2 Si 2.54
Cr 0.0000 0.5000 0.5000  2 Si 2.52, 8 Ni 2.52, 2 Cr 2.54
Ni 0.5000 0.5000 0.0000  4 Ni 2.52-2.54, 4 Cr 2.52, 4 Si 2.52
Ni 0.0000 0.0000 0.0000  4 Ni 2.52-2.54, 4 Si 2.52, 4 Cr 2.52

Spin magnetization = 0.427 μB/atom
Fermi-level density of states = 1.12 states/eV/atom
Formation energy without anion corrections = -0.127 eV/atom


No. 2
This record from Alexandria describes an optimized crystal structure of KAs2Au. The functional is GGA-PBE.

Cell: 3.5777 3.5781 7.6326 Å, 90.00 90.00 90.00°
Closest atoms and distances in Å follow each position.
Fractional positions:
As 0.0000 0.0000 0.0813  1 Au 2.76, 4 As 2.76
K 0.5000 0.5000 0.7505  4 Au 3.45, 5 As 3.57-3.63, 4 K 3.58
Au 0.0000 0.0000 0.4424  5 As 2.76-3.02
As 0.5000 0.5000 0.2258  4 As 2.76, 4 Au 3.02

Energy of formation = 0.035 eV/atom
Spin magnetization = 0.000 μB/atom
Fermi-level density of states = 0.35 states/eV/atom
ΔE to the lowest computed polymorph = 18.7 kJ/mol of atoms


No. 3
This record from Alexandria describes an optimized crystal structure of Dy2Y6HoTm3. The functional is GGA-PBE.

Cell: 6.1332 6.1332 11.7398 Å, 94.99 94.99 119.93°
Closest atoms and distances in Å follow each position.
Fractional positions:
Y 0.9161 0.5828 0.7488  3 Tm 3.53, 6 Y 3.54, 2 Dy 3.55, 1 Ho 3.55
Tm 0.1666 0.8334 0.5000  6 Y 3.53, 6 Tm 3.54
Tm 0.5000 0.5000 0.5000  6 Y 3.53, 6 Tm 3.54
Ho 0.0000 0.0000 0.0000  6 Dy 3.54, 6 Y 3.55
Dy 0.6666 0.3334 0.0000  3 Dy 3.54, 3 Ho 3.54, 6 Y 3.55
Dy 0.3334 0.6666 0.0000  3 Dy 3.54, 3 Ho 3.54, 6 Y 3.55
Y 0.7506 0.7506 0.2513  3 Tm 3.53, 6 Y 3.54, 1 Ho 3.55, 2 Dy 3.55
Y 0.4172 0.0839 0.2512  3 Tm 3.53, 6 Y 3.54, 2 Dy 3.55, 1 Ho 3.55
Y 0.2494 0.2494 0.7487  3 Tm 3.53, 6 Y 3.54, 1 Ho 3.55, 2 Dy 3.55
Tm 0.8334 0.1666 0.5000  6 Y 3.53, 6 Tm 3.54
Y 0.5828 0.9161 0.7488  3 Tm 3.53, 6 Y 3.54, 2 Dy 3.55, 1 Ho 3.55
Y 0.0839 0.4172 0.2512  3 Tm 3.53, 6 Y 3.54, 2 Dy 3.55, 1 Ho 3.55

Energy of formation = 0.026 eV/atom
Spin magnetization = 0.000 μB/atom
Fermi-level density of states = 1.49 states/eV/atom


No. 4
This record from Alexandria describes an optimized crystal structure of KNa2Hg9. The functional is GGA-PBE.

Cell: 3.3492 10.7203 10.7203 Å, 120.00 90.00 90.00°
Closest atoms and distances in Å follow each position.
Fractional positions:
Na 0.0000 0.3333 0.6667  9 Hg 3.09-3.35, 2 Na 3.35
Hg 0.5000 0.8231 0.1769  8 Hg 3.29-3.44, 2 Na 3.35
Hg 0.5000 0.1769 0.3539  8 Hg 3.29-3.44, 2 Na 3.35
Na 0.0000 0.6667 0.3333  9 Hg 3.09-3.35, 2 Na 3.35
Hg 0.0000 0.5000 0.0000  2 Na 3.09, 10 Hg 3.35-3.44
Hg 0.0000 0.5000 0.5000  2 Na 3.09, 10 Hg 3.35-3.44
Hg 0.5000 0.6461 0.8231  8 Hg 3.29-3.44, 2 Na 3.35
Hg 0.5000 0.8231 0.6461  8 Hg 3.29-3.44, 2 Na 3.35
Hg 0.0000 0.0000 0.5000  2 Na 3.09, 10 Hg 3.35-3.44
Hg 0.5000 0.3539 0.1769  8 Hg 3.29-3.44, 2 Na 3.35
Hg 0.5000 0.1769 0.8231  8 Hg 3.29-3.44, 2 Na 3.35
K 0.0000 0.0000 0.0000  2 K 3.35, 12 Hg 3.69

Energy of formation = -0.132 eV/atom
Spin magnetization = 0.000 μB/atom
Fermi-level density of states = 0.50 states/eV/atom
ΔE to the lowest computed polymorph = 4.9 kJ/mol of atoms


No. 5
This record from Alexandria describes an optimized crystal structure of MnCdMo2. The functional is GGA-PBE.

Cell: 2.7205 2.7205 8.8796 Å, 90.00 90.00 106.05°
Closest atoms and distances in Å follow each position.
Fractional positions:
Mn 0.5000 0.5000 0.7500  4 Mo 2.55, 4 Mn 2.72
Mo 0.0000 0.0000 0.9700  2 Mn 2.55, 4 Mo 2.72
Cd 0.5000 0.5000 0.2500  4 Cd 2.72, 4 Mo 2.98
Mo 0.0000 0.0000 0.5300  2 Mn 2.55, 4 Mo 2.72

Energy of formation = 0.301 eV/atom
Spin magnetization = 0.350 μB/atom
Fermi-level density of states = 0.88 states/eV/atom


No. 6
This record from Alexandria describes an optimized crystal structure of Pr2Zn3CdPd4. The functional is GGA-PBE.

Cell: 4.2482 4.2482 11.1494 Å, 90.00 90.00 90.00°
Closest atoms and distances in Å follow each position.
Fractional positions:
Pd 0.5000 0.5000 0.0000  4 Zn 2.55
Zn 0.0000 0.0000 0.5000  4 Pd 2.71, 4 Cd 3.00
Cd 0.5000 0.5000 0.5000  4 Pd 2.71, 4 Zn 3.00
Pd 0.0000 0.5000 0.3492  3 Zn 2.49-2.71, 2 Cd 2.71
Pd 0.5000 0.0000 0.6508  3 Zn 2.49-2.71, 2 Cd 2.71
Pd 0.0000 0.0000 0.0000  4 Zn 2.55
Zn 0.0000 0.5000 0.1258  5 Pd 2.49-2.55
Pr 0.5000 0.0000 0.2402  8 Pd 3.24-3.42, 6 Zn 3.26-3.59, 2 Cd 3.59
Zn 0.5000 0.0000 0.8742  5 Pd 2.49-2.55
Pr 0.0000 0.5000 0.7598  8 Pd 3.24-3.42, 6 Zn 3.26-3.59, 2 Cd 3.59

Energy of formation = -0.575 eV/atom
Spin magnetization = 0.000 μB/atom
Fermi-level density of states = 0.67 states/eV/atom


What is the Fermi-level density of states in the first record? 1.12 states/eV/atom


Copy entry 5 word for word.
This record from Alexandria describes an optimized crystal structure of MnCdMo2. The functional is GGA-PBE.

Cell: 2.7205 2.7205 8.8796 Å, 90.00 90.00 106.05°
Closest atoms and distances in Å follow each position.
Fractional positions:
Mn 0.5000 0.5000 0.7500  4 Mo 2.55, 4 Mn 2.72
Mo 0.0000 0.0000 0.9700  2 Mn 2.55, 4 Mo 2.72
Cd 0.5000 0.5000 0.2500  4 Cd 2.72, 4 Mo 2.98
Mo 0.0000 0.0000 0.5300  2 Mn 2.55, 4 Mo 2.72

Energy of formation = 0.301 eV/atom
Spin magnetization = 0.350 μB/atom
Fermi-level density of states = 0.88 states/eV/atom